Here is Ca2LaHgRu after structural relaxation from the Alexandria database. Energies are from GGA-PBE.

Summary:
Uncorrected energy, eV/atom: -3.844

Cell lengths 5.5967, 5.5967, 5.1966 Å; angles 90.00, 90.00, 90.00 degrees
Closest atoms and distances in Å follow each position.
Fractional coordinates of all 5 atoms:
Ru (0.0000, 0.0000, 0.0000)  2 La 2.60, 4 Ca 2.80
Ca (0.0000, 0.5000, 0.0000)  2 Ru 2.80
Ca (0.5000, 0.0000, 0.0000)  2 Ru 2.80
Hg (0.5000, 0.5000, 0.5000)  8 Ca 3.82, 4 La 3.96
La (0.0000, 0.0000, 0.5000)  2 Ru 2.60